# 1
! Al2BiN GGA-PBE optimized geometry; values from VASP
! Space-group type: Fm-3m
! Crystal system: cubic
! Volume, Å³ per cell: 72.8
! E_tot, eV/atom: -3.7828
! ΔE to the lowest computed polymorph, eV per atom: 1.434
! Energy relative to the elements, uncorrected, eV per atom: 1.140
&SYSTEM
  ibrav = 0, nat = 4, ntyp = 3
/
ATOMIC_SPECIES
N 14.01 N.upf
Bi 208.98 Bi.upf
Al 26.98 Al.upf
CELL_PARAMETERS angstrom
0.000 3.314 3.314
3.314 0.000 3.314
3.314 3.314 0.000
ATOMIC_POSITIONS angstrom
N 0.000 0.000 0.000
Bi 3.314 3.314 3.314
Al 1.657 1.657 1.657
Al 4.971 4.971 4.971

# 2
! PrTmRh GGA-PBE optimized geometry; values from VASP
! Space-group type: C2/m
! Crystal system: monoclinic
! Volume, Å³ per cell: 158.7
! E_tot, eV/atom: -6.1292
! Formation enthalpy at 0 K, eV/atom: -0.60
! ΔE to the lowest computed polymorph, eV per atom: 0.000
&SYSTEM
  ibrav = 0, nat = 6, ntyp = 3
/
ATOMIC_SPECIES
Rh 102.91 Rh.upf
Tm 168.93 Tm.upf
Pr 140.91 Pr.upf
CELL_PARAMETERS angstrom
-3.701 0.697 -0.957
-0.358 -0.747 -7.036
-2.840 -5.681 -1.068
ATOMIC_POSITIONS angstrom
Rh -1.810 -2.525 -2.737
Rh -5.088 -3.207 -6.323
Tm -3.854 -1.044 -1.641
Tm -3.045 -4.688 -7.420
Pr -2.963 -1.258 -5.234
Pr -3.935 -4.474 -3.826

# 3
! CaLa2NdAs4 GGA-PBE optimized geometry; values from VASP
! Space-group type: P2/m
! Crystal system: monoclinic
! Volume, Å³ per cell: 229.1
! E_tot, eV/atom: -5.7738
! Formation enthalpy at 0 K, eV/atom: -1.37
&SYSTEM
  ibrav = 0, nat = 8, ntyp = 4
/
ATOMIC_SPECIES
Ca 40.08 Ca.upf
La 138.91 La.upf
Nd 144.24 Nd.upf
As 74.92 As.upf
CELL_PARAMETERS angstrom
-2.503 2.659 2.344
-3.196 -5.890 3.268
3.839 -1.847 6.195
ATOMIC_POSITIONS angstrom
Ca -2.850 -1.615 2.806
La 3.839 -1.847 6.195
La 0.668 0.406 4.269
Nd 0.321 -3.868 4.731
As 0.481 -5.791 7.083
As -2.342 0.713 4.724
As -2.667 -3.534 5.178
As 0.806 -1.544 6.628

# 4
! Pm3Nd2PuSe6 GGA-PBE optimized geometry; values from VASP
! Space-group type: C2/m
! Crystal system: monoclinic
! Volume, Å³ per cell: 314.1
! E_tot, eV/atom: -6.7183
! Energy relative to the elements, uncorrected, eV per atom: -1.799
&SYSTEM
  ibrav = 0, nat = 12, ntyp = 4
/
ATOMIC_SPECIES
Pm 145.00 Pm.upf
Nd 144.24 Nd.upf
Pu 244.00 Pu.upf
Se 78.96 Se.upf
CELL_PARAMETERS angstrom
-1.397 2.623 -2.939
-5.981 2.734 5.285
7.731 4.306 3.140
ATOMIC_POSITIONS angstrom
Pm -3.689 2.679 1.173
Pm 2.992 5.497 0.512
Pm -2.639 4.167 4.975
Nd 0.008 6.902 3.185
Nd 0.345 2.761 2.301
Pu -0.699 1.312 -1.469
Se -0.789 6.275 5.977
Se -1.855 4.783 2.179
Se 1.142 3.388 -0.491
Se 4.841 7.585 1.496
Se -4.488 2.079 3.990
Se 2.208 4.881 3.307